Ag2MoW: PBEsol geometry, SCAN.

Lattice parameters (Å, degrees): 4.496 4.496 4.496 60.00 60.00 60.00
Fractional coordinates of all 4 atoms:
Ag 0.000 0.000 0.000
Ag 0.750 0.750 0.750
Mo 0.500 0.500 0.500
W 0.250 0.250 0.250

Computed properties:
The energy relative to the elements comes out at 0.79 eV/atom. The value obtained for the energy above the lowest structure with this stoichiometry is 137 meV per atom.